Entry from the Alexandria database: MnAlNi2 after structural relaxation (PBE-GGA).

```
MnAlNi2
1.0
-1.793 1.793 3.784
1.793 -1.793 3.784
1.793 1.793 -3.784
Mn Al Ni
1 1 2
Direct
0.000 0.000 0.000 Mn
0.750 0.250 0.500 Al
0.250 0.750 0.500 Ni
0.500 0.500 0.000 Ni
```

The space group is No. 119. The value obtained for the volume is 12.16 Å³/atom. The value obtained for the formation energy is -0.34 eV per atom.

Entry from the Alexandria database: Y2OsPt after structural relaxation (PBE-GGA).

```
Y2OsPt
1.0
4.244 0.000 0.000
0.000 1.970 5.330
0.000 -1.970 5.330
Y Os Pt
2 1 1
Direct
0.000 0.000 0.000 Y
0.500 0.293 0.293 Y
0.500 0.570 0.570 Os
0.000 0.723 0.723 Pt
```

The space group is No. 38. The value obtained for the volume is 22.28 Å³/atom. The value obtained for the formation energy is -0.57 eV per atom.

Entry from the Alexandria database: Zr2VCoH after structural relaxation (PBE-GGA).

```
Zr2VCoH
1.0
4.531 0.000 0.000
0.000 4.531 0.000
0.000 0.000 3.444
Zr V Co H
2 1 1 1
Direct
0.000 0.500 0.000 Zr
0.500 0.000 0.000 Zr
0.000 0.000 0.500 V
0.500 0.500 0.500 Co
0.000 0.000 0.000 H
```

The space group is No. 123. The value obtained for the volume is 14.14 Å³/atom. The relative energy among the computed polymorphs comes out at 0.013 eV/atom.

Entry from the Alexandria database: La2HoZrN4 after structural relaxation (PBE-GGA).

```
La2HoZrN4
1.0
6.058 0.000 0.000
0.000 3.496 0.000
-2.005 0.000 5.877
La Ho Zr N
2 1 1 4
Direct
0.000 0.000 0.000 La
0.500 0.500 0.000 La
0.000 0.500 0.500 Ho
0.500 0.000 0.500 Zr
0.253 0.000 0.721 N
0.270 0.500 0.282 N
0.730 0.500 0.718 N
0.747 0.000 0.279 N
```

The electronic total energy is -68.4 eV per cell. The space group is No. 10. The value obtained for the volume is 15.56 Å³/atom.

Entry from the Alexandria database: MgTa2Os after structural relaxation (PBE-GGA).

```
MgTa2Os
1.0
3.146 0.000 0.000
0.000 3.146 0.000
0.000 0.000 7.106
Mg Ta Os
1 2 1
Direct
0.000 0.000 0.000 Mg
0.000 0.000 0.440 Ta
0.500 0.500 0.712 Ta
0.500 0.500 0.238 Os
```

The space group is No. 99. The value obtained for the volume is 17.58 Å³/atom. The value obtained for the formation energy is 0.02 eV per atom.

Entry from the Alexandria database: FeRe2Ir after structural relaxation (PBE-GGA).

```
FeRe2Ir
1.0
-1.404 2.215 4.564
1.404 -2.215 4.564
1.404 2.215 -4.564
Fe Re Ir
1 2 1
Direct
0.000 0.000 0.000 Fe
0.502 0.502 0.000 Re
0.779 0.279 0.500 Re
0.226 0.726 0.500 Ir
```

The space group is No. 44. The value obtained for the volume is 14.20 Å³/atom. The relative energy among the computed polymorphs comes out at 0.231 eV/atom. The value obtained for the formation energy is 0.18 eV per atom.

Entry from the Alexandria database: Li6NbF12 after structural relaxation (PBE-GGA).

```
Li6NbF12
1.0
4.588 2.649 2.943
-4.588 2.649 2.943
0.000 -5.297 2.943
Li Nb F
6 1 12
Direct
0.103 0.877 0.661 Li
0.123 0.339 0.897 Li
0.339 0.897 0.123 Li
0.661 0.103 0.877 Li
0.877 0.661 0.103 Li
0.897 0.123 0.339 Li
0.500 0.500 0.500 Nb
0.092 0.681 0.894 F
0.106 0.908 0.319 F
0.198 0.382 0.543 F
0.319 0.106 0.908 F
0.382 0.543 0.198 F
0.457 0.802 0.618 F
0.543 0.198 0.382 F
0.618 0.457 0.802 F
0.681 0.894 0.092 F
0.802 0.618 0.457 F
0.894 0.092 0.681 F
0.908 0.319 0.106 F
```

The electronic total energy is -96.5 eV per cell. The space group is No. 148. The value obtained for the volume is 11.29 Å³/atom.

Entry from the Alexandria database: Tc3BiIr after structural relaxation (PBE-GGA).

```
Tc3BiIr
1.0
4.758 0.000 0.000
0.000 4.758 0.000
0.000 0.000 4.758
Tc Bi Ir
3 1 1
Direct
0.000 0.000 0.500 Tc
0.000 0.500 0.000 Tc
0.500 0.000 0.000 Tc
0.500 0.500 0.500 Bi
0.000 0.000 0.000 Ir
```

The space group is No. 221. The value obtained for the volume is 21.54 Å³/atom. The relative energy among the computed polymorphs comes out at 0.000 eV/atom. The value obtained for the formation energy is 1.50 eV per atom.

Entry from the Alexandria database: CaNd4Ir after structural relaxation (PBE-GGA).

```
CaNd4Ir
1.0
-3.115 3.853 8.458
3.115 -3.853 8.458
3.115 3.853 -8.458
Ca Nd Ir
2 8 2
Direct
0.200 0.200 0.000 Ca
0.800 0.800 0.000 Ca
0.143 0.390 0.753 Nd
0.208 0.000 0.208 Nd
0.334 0.834 0.500 Nd
0.362 0.610 0.753 Nd
0.638 0.390 0.247 Nd
0.666 0.166 0.500 Nd
0.792 0.000 0.792 Nd
0.857 0.610 0.247 Nd
0.500 0.269 0.769 Ir
0.500 0.731 0.231 Ir
```

The space group is No. 71. The value obtained for the volume is 33.83 Å³/atom. The value obtained for the formation energy is -0.17 eV per atom.

Entry from the Alexandria database: Cu3ReHg after structural relaxation (PBE-GGA).

```
Cu3ReHg
1.0
4.724 0.000 0.000
0.000 4.724 0.000
0.000 0.000 4.724
Cu Re Hg
3 1 1
Direct
0.000 0.000 0.500 Cu
0.000 0.500 0.000 Cu
0.500 0.000 0.000 Cu
0.000 0.000 0.000 Re
0.500 0.500 0.500 Hg
```

The space group is No. 221. The value obtained for the volume is 21.08 Å³/atom. The relative energy among the computed polymorphs comes out at 0.000 eV/atom. The value obtained for the formation energy is 1.44 eV per atom.

Entry from the Alexandria database: RbSe2NF after structural relaxation (PBE-GGA).

```
RbSe2NF
1.0
4.577 0.000 0.000
0.000 4.577 0.000
0.000 0.000 5.740
Rb Se N F
1 2 1 1
Direct
0.000 0.000 0.000 Rb
0.000 0.500 0.500 Se
0.500 0.000 0.500 Se
0.500 0.500 0.000 N
0.500 0.500 0.500 F
```

The space group is No. 123. The value obtained for the volume is 24.05 Å³/atom. The relative energy among the computed polymorphs comes out at 0.000 eV/atom.

Entry from the Alexandria database: In6Hg8Br after structural relaxation (PBE-GGA).

```
In6Hg8Br
1.0
7.175 0.000 0.000
2.004 7.226 0.000
1.762 2.525 8.236
In Hg Br
6 8 1
Direct
0.079 0.181 0.380 In
0.266 0.421 0.919 In
0.389 0.975 0.683 In
0.611 0.025 0.317 In
0.734 0.579 0.081 In
0.921 0.819 0.620 In
0.049 0.834 0.932 Hg
0.096 0.355 0.659 Hg
0.347 0.716 0.442 Hg
0.359 0.454 0.238 Hg
0.641 0.546 0.762 Hg
0.653 0.284 0.558 Hg
0.904 0.645 0.341 Hg
0.951 0.166 0.068 Hg
0.500 0.000 0.000 Br
```

The electronic total energy is -21.1 eV per cell. The space group is No. 2. The value obtained for the volume is 28.47 Å³/atom.